DFT (PBE) results for a geometry-optimized SrNpC2O8 structure.

Output
The total energy is -7.9939 eV per atom. Its total moment is 1.000 μB/cell. The formation energy from raw total energies is -1.9325 eV per atom.

Unit cell a=4.7747 b=4.7747 c=7.6282 alpha=90.00 beta=90.00 gamma=120.00
Element x y z (fractional)
Sr 0.0000 0.0000 0.0000
Np 0.0000 0.0000 0.5000
C 0.6667 0.3333 0.2569
C 0.3333 0.6667 0.7431
O 0.3333 0.6667 0.9144
O 0.3716 0.2963 0.3282
O 0.7037 0.0753 0.3282
O 0.6667 0.3333 0.0856
O 0.2963 0.9247 0.6718
O 0.6284 0.7037 0.6718
O 0.0753 0.3716 0.6718
O 0.9247 0.6284 0.3282

***

DFT (PBE) results for a geometry-optimized RbSrMn3 structure.

Output
As for the density of states at the Fermi level: 6.00 states/eV/f.u. The total energy is -4.2974 eV per atom. Its total moment is 12.361 μB/cell.

Unit cell a=5.5652 b=5.5652 c=5.5652 alpha=90.00 beta=90.00 gamma=90.00
Element x y z (fractional)
Sr 0.5000 0.5000 0.5000
Mn 0.0000 0.5000 0.0000
Mn 0.0000 0.0000 0.5000
Mn 0.5000 0.0000 0.0000
Rb 0.0000 0.0000 0.0000

***

DFT (PBE) results for a geometry-optimized TaPAuO2 structure.

Output
As for the density of states at the Fermi level: 0.85 states/eV/f.u. The total energy is -7.3871 eV per atom. Its total moment is 0.000 μB/cell. The formation energy from raw total energies is -1.2958 eV per atom.

Unit cell a=3.8403 b=3.8403 c=5.5192 alpha=90.00 beta=90.00 gamma=90.00
Element x y z (fractional)
P 0.0000 0.0000 0.5000
Au 0.5000 0.5000 0.5000
O 0.0000 0.5000 0.0000
O 0.5000 0.0000 0.0000
Ta 0.0000 0.0000 0.0000

***

DFT (PBE) results for a geometry-optimized CsSeS2Cl structure.

Output
As for the density of states at the Fermi level: 1.35 states/eV/f.u. The total energy is -3.2160 eV per atom. Its total moment is 0.000 μB/cell. The formation energy from raw total energies is -0.3281 eV per atom.

Unit cell a=4.9356 b=4.9356 c=5.6241 alpha=90.00 beta=90.00 gamma=90.00
Element x y z (fractional)
Cs 0.5000 0.5000 0.5000
S 0.0000 0.5000 0.0000
S 0.5000 0.0000 0.0000
Se 0.0000 0.0000 0.0000
Cl 0.0000 0.0000 0.5000

***

DFT (PBE) results for a geometry-optimized NaInPb2F8 structure.

Output
As for the density of states at the Fermi level: 0.00 states/eV/f.u. The total energy is -4.6849 eV per atom. Its total moment is 0.000 μB/cell. The formation energy from raw total energies is -2.4812 eV per atom.

Unit cell a=4.2400 b=5.7691 c=7.9545 alpha=90.00 beta=90.00 gamma=95.32
Element x y z (fractional)
Na 0.0000 0.0000 0.5000
In 0.0000 0.0000 0.0000
Pb 0.5000 0.5000 0.7451
Pb 0.5000 0.5000 0.2549
F 0.0462 0.7683 0.2125
F 0.5604 0.7875 0.0000
F 0.9538 0.2316 0.2126
F 0.9538 0.2317 0.7875
F 0.4396 0.2125 0.0000
F 0.0462 0.7684 0.7874
F 0.5490 0.7478 0.5000
F 0.4510 0.2522 0.5000

***

DFT (PBE) results for a geometry-optimized BePdO3 structure.

Output
As for the density of states at the Fermi level: 4.21 states/eV/f.u. The total energy is -5.1801 eV per atom. Its total moment is 0.000 μB/cell. The formation energy from raw total energies is -0.4214 eV per atom.

Unit cell a=3.4529 b=3.4529 c=3.4529 alpha=90.00 beta=90.00 gamma=90.00
Element x y z (fractional)
Be 0.0000 0.0000 0.0000
O 0.0000 0.5000 0.0000
O 0.0000 0.0000 0.5000
O 0.5000 0.0000 0.0000
Pd 0.5000 0.5000 0.5000

***

DFT (PBE) results for a geometry-optimized TiInCu2N structure.

Output
As for the density of states at the Fermi level: 4.23 states/eV/f.u. The total energy is -4.1264 eV per atom. Its total moment is 1.880 μB/cell. The formation energy from raw total energies is 1.3038 eV per atom.

Unit cell a=4.8339 b=4.8339 c=4.0616 alpha=90.00 beta=90.00 gamma=90.00
Element x y z (fractional)
N 0.0000 0.0000 0.5000
Ti 0.5000 0.5000 0.5000
Cu 0.0000 0.5000 0.0000
Cu 0.5000 0.0000 0.0000
In 0.0000 0.0000 0.0000

***

- Which value of total moment does entry 5 give?
  0.000 μB/cell